P:
Density functional theory data (GGA-PBE) for crystalline KGeP3 at its relaxed geometry.

Properties
- Calculated volume: 27.65 Å³/atom
- Space group: Pm-3m (221)
- Total moment: 0.0 Bohr magnetons per cell

abc: 5.171 5.171 5.171
angles: 90.00 90.00 90.00
Positions (direct):
P 0.000 0.500 0.000
P 0.000 0.000 0.500
P 0.500 0.000 0.000
K 0.000 0.000 0.000
Ge 0.500 0.500 0.500



Q:
Density functional theory data (GGA-PBE) for crystalline KGeP3 at its relaxed geometry.

Properties
- Calculated volume: 23.50 Å³/atom
- Space group: Pm-3m (221)
- Total moment: 0.0 Bohr magnetons per cell

abc: 4.898 4.898 4.898
angles: 90.00 90.00 90.00
Positions (direct):
P 0.500 0.000 0.000
P 0.000 0.000 0.500
P 0.000 0.500 0.000
Ge 0.000 0.000 0.000
K 0.500 0.500 0.500



Sorted by energy, starting with the most stable: Q, P.



P:
Density functional theory data (GGA-PBE) for crystalline K3GeP at its relaxed geometry.

Properties
- Calculated volume: 45.73 Å³/atom
- Space group: C2/m (12)
- Total moment: 0.0 Bohr magnetons per cell

abc: 7.735 7.735 9.844
angles: 127.18 96.71 94.71
Positions (direct):
P 0.538 0.772 0.310
P 0.462 0.228 0.690
K 0.107 0.970 0.680
K 0.696 0.337 0.033
K 0.289 0.427 0.320
K 0.711 0.573 0.680
K 0.304 0.663 0.967
K 0.893 0.030 0.320
Ge 0.648 0.961 0.610
Ge 0.352 0.039 0.390



Q:
Density functional theory data (GGA-PBE) for crystalline K3GeP at its relaxed geometry.

Properties
- Calculated volume: 48.02 Å³/atom
- Space group: Pm-3m (221)
- Total moment: 3.7 Bohr magnetons per cell

abc: 6.215 6.215 6.215
angles: 90.00 90.00 90.00
Positions (direct):
K 0.000 0.000 0.500
K 0.000 0.500 0.000
K 0.500 0.000 0.000
Ge 0.500 0.500 0.500
P 0.000 0.000 0.000



Sorted by energy, starting with the most stable: P, Q.



P:
Density functional theory data (GGA-PBE) for crystalline KGePS2 at its relaxed geometry.

Properties
- Calculated volume: 23.68 Å³/atom
- Space group: P4/mmm (123)
- Total moment: 1.1 Bohr magnetons per cell

abc: 4.991 4.991 4.754
angles: 90.00 90.00 90.00
Positions (direct):
K 0.500 0.500 0.500
S 0.000 0.500 0.000
S 0.500 0.000 0.000
Ge 0.000 0.000 0.000
P 0.000 0.000 0.500



Q:
Density functional theory data (GGA-PBE) for crystalline KGePS2 at its relaxed geometry.

Properties
- Calculated volume: 29.91 Å³/atom
- Space group: P4/mmm (123)
- Total moment: 1.8 Bohr magnetons per cell

abc: 5.360 5.360 5.206
angles: 90.00 90.00 90.00
Positions (direct):
S 0.500 0.000 0.000
S 0.000 0.500 0.000
Ge 0.500 0.500 0.500
P 0.000 0.000 0.500
K 0.000 0.000 0.000



Sorted by energy, starting with the most stable: P, Q.



P:
Density functional theory data (GGA-PBE) for crystalline K2Ge2Pb at its relaxed geometry.

Properties
- Calculated volume: 32.59 Å³/atom
- Space group: I4/mmm (139)
- Total moment: 0.0 Bohr magnetons per cell

abc: 4.855 4.855 7.718
angles: 71.67 71.67 90.00
Positions (direct):
K 0.250 0.750 0.500
K 0.750 0.250 0.500
Pb 0.000 0.000 0.000
Ge 0.583 0.583 0.835
Ge 0.417 0.417 0.165



Q:
Density functional theory data (GGA-PBE) for crystalline K2Ge2Pb at its relaxed geometry.

Properties
- Calculated volume: 32.03 Å³/atom
- Space group: P4/mbm (127)
- Total moment: 0.0 Bohr magnetons per cell

abc: 7.557 7.557 5.609
angles: 90.00 90.00 90.00
Positions (direct):
Ge 0.887 0.613 0.000
Ge 0.613 0.113 0.000
Ge 0.387 0.887 0.000
Ge 0.113 0.387 0.000
K 0.186 0.686 0.500
K 0.686 0.814 0.500
K 0.814 0.314 0.500
K 0.314 0.186 0.500
Pb 0.000 0.000 0.000
Pb 0.500 0.500 0.000



Sorted by energy, starting with the most stable: Q, P.



P:
Density functional theory data (GGA-PBE) for crystalline KGe3Pb at its relaxed geometry.

Properties
- Calculated volume: 33.14 Å³/atom
- Space group: Pm-3m (221)
- Total moment: 0.0 Bohr magnetons per cell

abc: 5.493 5.493 5.493
angles: 90.00 90.00 90.00
Positions (direct):
Ge 0.000 0.500 0.000
Ge 0.000 0.000 0.500
Ge 0.500 0.000 0.000
Pb 0.500 0.500 0.500
K 0.000 0.000 0.000



Q:
Density functional theory data (GGA-PBE) for crystalline KGe3Pb at its relaxed geometry.

Properties
- Calculated volume: 34.99 Å³/atom
- Space group: Pm-3m (221)
- Total moment: 0.0 Bohr magnetons per cell

abc: 5.593 5.593 5.593
angles: 90.00 90.00 90.00
Positions (direct):
Pb 0.000 0.000 0.000
Ge 0.000 0.000 0.500
Ge 0.500 0.000 0.000
Ge 0.000 0.500 0.000
K 0.500 0.500 0.500



Sorted by energy, starting with the most stable: Q, P.



P:
Density functional theory data (GGA-PBE) for crystalline KGePd3 at its relaxed geometry.

Properties
- Calculated volume: 24.11 Å³/atom
- Space group: Pm-3m (221)
- Total moment: 0.0 Bohr magnetons per cell

abc: 4.940 4.940 4.940
angles: 90.00 90.00 90.00
Positions (direct):
Pd 0.500 0.000 0.000
Pd 0.000 0.000 0.500
Pd 0.000 0.500 0.000
K 0.000 0.000 0.000
Ge 0.500 0.500 0.500



Q:
Density functional theory data (GGA-PBE) for crystalline KGePd3 at its relaxed geometry.

Properties
- Calculated volume: 21.31 Å³/atom
- Space group: Pmmn (59)
- Total moment: 0.0 Bohr magnetons per cell

abc: 3.693 7.206 8.008
angles: 90.00 90.00 90.00
Positions (direct):
Pd 0.250 0.250 0.818
Pd 0.750 0.953 0.852
Pd 0.750 0.547 0.852
Pd 0.250 0.047 0.148
Pd 0.250 0.453 0.148
Pd 0.750 0.750 0.182
K 0.750 0.250 0.468
K 0.250 0.750 0.532
Ge 0.750 0.250 0.034
Ge 0.250 0.750 0.966



Sorted by energy, starting with the most stable: Q, P.